(1)
Entry from Alexandria via LeMat-Bulk: a geometry-optimized AlCdNiGe2 structure (PBE).

Computed properties:
M_tot ... 0.0 μB/f.u.
DFT formation energy ... 1.0475 eV per atom
Density of states at the Fermi level ... 0.79 states/eV per atom
Electronic total energy ... -14.44 eV per cell
Crystal system ... tetragonal

Lattice parameters (Å, degrees): 5.0460 5.0460 4.8002 90.00 90.00 90.00
Sites, in units of the cell vectors:
Al: 0.0000 0.0000 0.0000
Cd: 0.5000 0.5000 0.5000
Ni: 0.5000 0.5000 0.0000
Ge: 0.0000 0.5000 0.5000
Ge: 0.5000 0.0000 0.5000

---

(2)
Entry from Alexandria via LeMat-Bulk: a geometry-optimized La5PmPr2Sm structure (PBE).

Computed properties:
M_tot ... 0.0 μB/f.u.
DFT formation energy ... 0.2396 eV per atom
Density of states at the Fermi level ... 1.82 states/eV per atom
Electronic total energy ... -83.02 eV per cell
Crystal system ... tetragonal

Lattice parameters (Å, degrees): 10.2724 10.2724 10.2724 128.04 128.04 76.56
Sites, in units of the cell vectors:
La: 0.0000 0.0000 0.0000
La: 0.0642 0.5642 0.9087
La: 0.1555 0.0642 0.5000
La: 0.3445 0.8445 0.9087
La: 0.4358 0.3445 0.5000
La: 0.5000 0.5000 0.0000
La: 0.5642 0.6555 0.5000
La: 0.6555 0.1555 0.0913
La: 0.8445 0.9358 0.5000
La: 0.9358 0.4358 0.0913
Pm: 0.2500 0.2500 0.0000
Pm: 0.7500 0.7500 0.0000
Pr: 0.1191 0.3809 0.5000
Pr: 0.3809 0.8809 0.2617
Pr: 0.6191 0.1191 0.7383
Pr: 0.8809 0.6191 0.5000
Sm: 0.2500 0.7500 0.5000
Sm: 0.7500 0.2500 0.5000

---

(3)
Entry from Alexandria via LeMat-Bulk: a geometry-optimized Ba6Cl7 structure (PBE).

Computed properties:
M_tot ... 2.9 μB/f.u.
Density of states at the Fermi level ... 0.49 states/eV per atom
Electronic total energy ... -47.40 eV per cell
Crystal system ... trigonal

Lattice parameters (Å, degrees): 13.0081 13.0081 13.0081 30.69 30.69 30.69
Sites, in units of the cell vectors:
Ba: 0.0642 0.0642 0.0642
Ba: 0.2030 0.2030 0.2030
Ba: 0.3335 0.3335 0.3335
Ba: 0.6665 0.6665 0.6665
Ba: 0.7970 0.7970 0.7970
Ba: 0.9358 0.9358 0.9358
Cl: 0.0657 0.5661 0.5661
Cl: 0.4339 0.4339 0.9343
Cl: 0.4339 0.9343 0.4339
Cl: 0.5000 0.5000 0.5000
Cl: 0.5661 0.0657 0.5661
Cl: 0.5661 0.5661 0.0657
Cl: 0.9343 0.4339 0.4339

---

(4)
Entry from Alexandria via LeMat-Bulk: a geometry-optimized In2AuSe structure (PBE).

Computed properties:
M_tot ... 0.0 μB/f.u.
Density of states at the Fermi level ... 0.34 states/eV per atom
Electronic total energy ... -25.34 eV per cell
Crystal system ... monoclinic

Lattice parameters (Å, degrees): 7.0567 7.5270 3.7131 90.00 103.72 90.00
Sites, in units of the cell vectors:
In: 0.2500 0.2500 0.0000
In: 0.2500 0.7500 0.0000
In: 0.7500 0.2500 0.0000
In: 0.7500 0.7500 0.0000
Au: 0.0000 0.0000 0.5000
Au: 0.5000 0.5000 0.5000
Se: 0.0000 0.5000 0.5000
Se: 0.5000 0.0000 0.5000

---

(5)
Entry from Alexandria via LeMat-Bulk: a geometry-optimized La2HfHg2 structure (PBE).

Computed properties:
M_tot ... 0.7 μB/f.u.
DFT formation energy ... 0.1776 eV per atom
Distance to the lowest polymorph of the same formula ... 259 meV per atom
Density of states at the Fermi level ... 1.30 states/eV per atom
Electronic total energy ... -39.05 eV per cell
Crystal system ... tetragonal

Lattice parameters (Å, degrees): 4.1083 4.1083 18.4767 90.00 90.00 90.00
Sites, in units of the cell vectors:
La: 0.0000 0.0000 0.0996
La: 0.0000 0.0000 0.9004
La: 0.5000 0.5000 0.4004
La: 0.5000 0.5000 0.5996
Hf: 0.0000 0.0000 0.5000
Hf: 0.5000 0.5000 0.0000
Hg: 0.0000 0.5000 0.2500
Hg: 0.0000 0.5000 0.7500
Hg: 0.5000 0.0000 0.2500
Hg: 0.5000 0.0000 0.7500

---

(6)
Entry from Alexandria via LeMat-Bulk: a geometry-optimized TaHO2 structure (PBE).

Computed properties:
M_tot ... 0.0 μB/f.u.
Distance to the lowest polymorph of the same formula ... 403 meV per atom
Density of states at the Fermi level ... 0.05 states/eV per atom
Electronic total energy ... -120.84 eV per cell
Crystal system ... cubic

Lattice parameters (Å, degrees): 5.0397 5.0397 5.0397 90.00 90.00 90.00
Sites, in units of the cell vectors:
Ta: 0.0000 0.0000 0.0000
Ta: 0.0000 0.5000 0.5000
Ta: 0.5000 0.0000 0.5000
Ta: 0.5000 0.5000 0.0000
H: 0.0000 0.0000 0.5000
H: 0.0000 0.5000 0.0000
H: 0.5000 0.0000 0.0000
H: 0.5000 0.5000 0.5000
O: 0.2500 0.2500 0.2500
O: 0.2500 0.2500 0.7500
O: 0.2500 0.7500 0.2500
O: 0.2500 0.7500 0.7500
O: 0.7500 0.2500 0.2500
O: 0.7500 0.2500 0.7500
O: 0.7500 0.7500 0.2500
O: 0.7500 0.7500 0.7500